The following is a DFT calculation (PBE-GGA) of a geometry-optimized Al2CdAg6 structure.

## Properties
- SG: No. 15
- Energy above the most stable polymorph in this dataset: 0.0322 eV per atom
- Total moment: 0.00 Bohr magnetons per cell
- Energy: -25.7 eV/f.u.

a = 4.981 Å, b = 8.232 Å, c = 8.232 Å
α = 72.13°, β = 84.73°, γ = 84.73°
Sites, in units of the cell vectors:
Ag1 0.019 0.568 0.323
Ag2 0.691 0.259 0.983
Ag3 0.846 0.647 0.893
Ag4 0.654 0.107 0.353
Ag5 0.154 0.353 0.107
Ag6 0.809 0.017 0.741
Ag7 0.191 0.983 0.259
Ag8 0.519 0.323 0.568
Ag9 0.346 0.893 0.647
Ag10 0.481 0.677 0.432
Ag11 0.309 0.741 0.017
Ag12 0.981 0.432 0.677
Cd1 0.750 0.887 0.113
Cd2 0.250 0.113 0.887
Al1 0.092 0.213 0.459
Al2 0.908 0.787 0.541
Al3 0.408 0.541 0.787
Al4 0.592 0.459 0.213